# 1
VASP calculation (PBE) on crystalline Sm4Y7Er at its relaxed geometry.

## Properties
Offset from the most stable computed form, kJ/mol of formula units: 240.4
Energy of formation from the pure elements, eV per atom: 0.29
Electronic total energy, eV/atom: -5.430
Volume, Å³ per cell: 815.0

Lattice parameters (Å, degrees): 11.942 5.889 13.037 90.00 117.25 90.00
Space group C2/m (No. 12)
Symmetry-distinct sites (fractional):
Sm  0.090  0.000  0.293 x4
Sm  0.132  0.500  0.776 x4
Y  0.000  0.000  0.000 x2
Y  0.133  0.500  0.485 x4
Y  0.170  0.000  0.638 x4
Y  0.210  0.000  0.917 x4
Er  0.000  0.500  0.000 x2


# 2
VASP calculation (PBE) on crystalline Ga2AsSe6 at its relaxed geometry.

## Properties
Electronic total energy, eV/atom: -3.716
Volume, Å³ per cell: 937.8
E_form (uncorrected), eV per formula unit: -1.84

Lattice parameters (Å, degrees): 11.939 11.541 7.086 90.00 106.15 90.00
Space group C2/c (No. 15)
Symmetry-distinct sites (fractional):
Ga  0.185  0.093  0.319 x8
As  0.000  0.410  0.250 x4
Se  0.084  0.065  0.585 x8
Se  0.109  0.405  0.635 x8
Se  0.165  0.286  0.188 x8


# 3
VASP calculation (PBE) on crystalline SrMn2Si at its relaxed geometry.

## Properties
Electronic total energy, eV/atom: -5.975
Volume, Å³ per cell: 80.7
E_form (uncorrected), eV per formula unit: 1.54

Lattice parameters (Å, degrees): 3.355 4.301 5.629 90.00 96.24 90.00
Space group P2/m (No. 10)
Symmetry-distinct sites (fractional):
Sr  0.000  0.000  0.000 x1
Mn  0.279  0.500  0.610 x2
Si  0.500  0.000  0.500 x1


# 4
VASP calculation (PBE) on crystalline CdRhS2O8 at its relaxed geometry.

## Properties
Electronic total energy, eV/atom: -5.682
Volume, Å³ per cell: 158.1
E_form (uncorrected), eV per formula unit: -12.00

Lattice parameters (Å, degrees): 5.1857 5.1857 6.7877 90.00 90.00 120.00
Space group P-3m1 (No. 164)
Symmetry-distinct sites (fractional):
Cd  0.0000  0.0000  0.0000 x1
Rh  0.0000  0.0000  0.5000 x1
S  0.3333  0.6667  0.2053 x2
O  0.1741  0.3481  0.2750 x6
O  0.3333  0.6667  0.9901 x2